No. 1
Er7Pb3C2 | PBE | optimized geometry

Results
Excess energy over the best structure of this formula in the dataset (eV/f.u.): 0.00

The structure in CIF format:
```
data_Er7Pb3C2
_space_group_name_H-M_alt 'I 4/m m m'
_space_group_IT_number 139
_space_group_name_Hall '-I 4 2'
_cell_length_a 4.8301
_cell_length_b 4.8301
_cell_length_c 25.5179
_cell_angle_alpha 90.00
_cell_angle_beta 90.00
_cell_angle_gamma 90.00
loop_
_atom_site_label
_atom_site_type_symbol
_atom_site_fract_x
_atom_site_fract_y
_atom_site_fract_z
_atom_site_occupancy
Er1 Er 0.0000 0.0000 0.0000 1
Er2 Er 0.0000 0.0000 0.1924 1
Er3 Er 0.0000 0.5000 0.0953 1
Pb1 Pb 0.0000 0.0000 0.3174 1
Pb2 Pb 0.0000 0.0000 0.5000 1
C1 C 0.0000 0.0000 0.0967 1
```

No. 2
Er4PbC | PBE | optimized geometry

The structure in CIF format:
```
data_Er4PbC
_space_group_name_H-M_alt 'P 1 21/m 1'
_space_group_IT_number 11
_cell_length_a 6.0345
_cell_length_b 9.5499
_cell_length_c 6.0482
_cell_angle_alpha 90.00
_cell_angle_beta 102.08
_cell_angle_gamma 90.00
loop_
_space_group_symop_operation_xyz
'x,y,z'
'-x,-y,-z'
'-x,y+1/2,-z'
'x,-y+1/2,z'
loop_
_atom_site_label
_atom_site_type_symbol
_atom_site_fract_x
_atom_site_fract_y
_atom_site_fract_z
_atom_site_occupancy
Er1 Er 0.1229 0.2500 0.2260 1
Er2 Er 0.2485 0.0500 0.7481 1
Er3 Er 0.2742 0.7500 0.3785 1
Pb1 Pb 0.4127 0.7500 0.9141 1
C1 C 0.0915 0.2500 0.5906 1
```

No. 3
Er3Pb3C | PBE | optimized geometry

The structure in CIF format:
```
data_Er3Pb3C
_space_group_name_H-M_alt 'C 1 2/m 1'
_space_group_IT_number 12
_cell_length_a 7.8574
_cell_length_b 10.5791
_cell_length_c 9.1029
_cell_angle_alpha 90.00
_cell_angle_beta 99.72
_cell_angle_gamma 90.00
loop_
_space_group_symop_operation_xyz
'x,y,z'
'-x,-y,-z'
'-x,y,-z'
'x,-y,z'
'x+1/2,y+1/2,z'
'-x+1/2,-y+1/2,-z'
'-x+1/2,y+1/2,-z'
'x+1/2,-y+1/2,z'
loop_
_atom_site_label
_atom_site_type_symbol
_atom_site_fract_x
_atom_site_fract_y
_atom_site_fract_z
_atom_site_occupancy
Er1 Er 0.1414 0.0000 0.3831 1
Er2 Er 0.2388 0.3329 0.2390 1
Pb1 Pb 0.0000 0.1509 0.0000 1
Pb2 Pb 0.0000 0.3001 0.5000 1
Pb3 Pb 0.1296 0.5000 0.8873 1
C1 C 0.1526 0.0000 0.6332 1
```

No. 4
Er6Pb3C2 | PBE | optimized geometry

The structure in CIF format:
```
data_Er6Pb3C2
_space_group_name_H-M_alt 'I 4/m m m'
_space_group_IT_number 139
_space_group_name_Hall '-I 4 2'
_cell_length_a 4.7641
_cell_length_b 4.7641
_cell_length_c 24.9739
_cell_angle_alpha 90.00
_cell_angle_beta 90.00
_cell_angle_gamma 90.00
loop_
_atom_site_label
_atom_site_type_symbol
_atom_site_fract_x
_atom_site_fract_y
_atom_site_fract_z
_atom_site_occupancy
Er1 Er 0.0000 0.0000 0.1931 1
Er2 Er 0.0000 0.5000 0.0843 1
Pb1 Pb 0.0000 0.0000 0.3208 1
Pb2 Pb 0.0000 0.0000 0.5000 1
C1 C 0.0000 0.0000 0.1027 1
```

Number 1: energy of formation -0.57 eV per atom. Number 2: energy of formation -0.12 eV per atom. Number 3: energy of formation -0.26 eV per atom. Number 4: energy of formation -0.38 eV per atom.